VASP calculation (GGA+U) on LaFe2F after structural relaxation.

The space group is I4_1/amd (No. 141, origin choice 2) and the conventional cell measures 4.816, 4.816 and 16.103 Å, with angles of 90.00, 90.00 and 90.00 degrees. The asymmetric unit holds La at (0.000, 0.250, 0.375), Fe at (0.000, 0.000, 0.000) and F at (0.000, 0.250, 0.875).

For the total magnetization, the calculation gives 1.565 μB per atom. The calculation puts the polymorph energy (0 for the lowest one) at 0 meV per atom. For the total energy, the calculation gives -4.51 eV per atom. The calculation puts the density of states at the Fermi level at 10.20 states/eV per cell.

***

VASP calculation (GGA+U) on LaFeF2 after structural relaxation.

The space group is R-3m (No. 166, hexagonal axes) and the conventional cell measures 3.2420, 3.2420 and 22.4064 Å, with angles of 90.00, 90.00 and 120.00 degrees. The asymmetric unit holds La at (0.0000, 0.0000, 0.0000), Fe at (0.0000, 0.0000, 0.5000) and F at (0.0000, 0.0000, 0.4099).

For the total magnetization, the calculation gives 0.052 μB per atom. The calculation puts the polymorph energy (0 for the lowest one) at 939 meV per atom. For the total energy, the calculation gives -4.53 eV per atom. The calculation puts the density of states at the Fermi level at 12.85 states/eV per cell.

***

VASP calculation (GGA+U) on LaFeF2 after structural relaxation.

The space group is I-42d (No. 122) and the conventional cell measures 5.135, 5.135 and 14.811 Å, with angles of 90.00, 90.00 and 90.00 degrees. The asymmetric unit holds La at (0.000, 0.000, 0.000), Fe at (0.000, 0.000, 0.500) and F at (0.086, 0.250, 0.125).

For the total magnetization, the calculation gives 0.760 μB per atom. The calculation puts the polymorph energy (0 for the lowest one) at 0 meV per atom. For the total energy, the calculation gives -5.47 eV per atom. The calculation puts the density of states at the Fermi level at 2.89 states/eV per cell.